Record 1
This record from the Alexandria database describes an optimized crystal structure of Ce3Ag2Pb4. The functional is PBE.

energy of formation from the pure elements: -269 meV per atom
uncorrected energy: -4.53 eV/atom
SG: C2/m (12)

abc: 6.413 6.413 9.345
angles: 108.59 108.59 44.81
Positions (direct):
Ce: 0.000 0.000 0.000
Ce: 0.360 0.360 0.311
Ce: 0.640 0.640 0.689
Ag: 0.308 0.308 0.625
Ag: 0.692 0.692 0.375
Pb: 0.064 0.064 0.377
Pb: 0.304 0.304 0.932
Pb: 0.696 0.696 0.068
Pb: 0.936 0.936 0.623



Record 2
This record from the Alexandria database describes an optimized crystal structure of KBaSbS3. The functional is PBE.

uncorrected energy: -4.30 eV/atom
SG: C2/m (12)

abc: 9.006 9.006 8.660
angles: 105.59 105.59 33.30
Positions (direct):
K: 0.141 0.141 0.075
K: 0.859 0.859 0.925
Ba: 0.159 0.159 0.588
Ba: 0.841 0.841 0.412
Sb: 0.497 0.497 0.316
Sb: 0.503 0.503 0.684
S: 0.002 0.002 0.277
S: 0.345 0.345 0.655
S: 0.347 0.347 0.178
S: 0.653 0.653 0.822
S: 0.655 0.655 0.345
S: 0.998 0.998 0.723



Record 3
This record from the Alexandria database describes an optimized crystal structure of Ac5PmNd2Sm. The functional is PBE.

energy of formation from the pure elements: 276 meV per atom
uncorrected energy: -4.12 eV/atom
SG: I4/mcm (140)

abc: 11.968 11.968 11.968
angles: 138.41 138.41 60.28
Positions (direct):
Ac: 0.000 0.000 0.000
Ac: 0.083 0.583 0.938
Ac: 0.145 0.083 0.500
Ac: 0.355 0.855 0.938
Ac: 0.417 0.355 0.500
Ac: 0.500 0.500 0.000
Ac: 0.583 0.645 0.500
Ac: 0.645 0.145 0.062
Ac: 0.855 0.917 0.500
Ac: 0.917 0.417 0.062
Pm: 0.250 0.250 0.000
Pm: 0.750 0.750 0.000
Nd: 0.122 0.378 0.500
Nd: 0.378 0.878 0.256
Nd: 0.622 0.122 0.744
Nd: 0.878 0.622 0.500
Sm: 0.250 0.750 0.500
Sm: 0.750 0.250 0.500



Record 4
This record from the Alexandria database describes an optimized crystal structure of CaHfCu4. The functional is PBE.

energy of formation from the pure elements: 12 meV per atom
uncorrected energy: -4.71 eV/atom
SG: F-43m (216)

abc: 5.148 5.148 5.148
angles: 60.00 60.00 60.00
Positions (direct):
Ca: 0.000 0.000 0.000
Hf: 0.250 0.250 0.250
Cu: 0.126 0.625 0.625
Cu: 0.625 0.126 0.625
Cu: 0.625 0.625 0.126
Cu: 0.625 0.625 0.625



Record 5
This record from the Alexandria database describes an optimized crystal structure of Ta2InBr. The functional is PBE.

uncorrected energy: -6.51 eV/atom
SG: Imm2 (44)

abc: 6.158 6.158 6.158
angles: 150.87 131.02 58.01
Positions (direct):
Ta: 0.000 0.000 0.000
Ta: 0.798 0.298 0.500
In: 0.519 0.519 0.000
Br: 0.227 0.727 0.500



Record 6
This record from the Alexandria database describes an optimized crystal structure of CsK2Rb. The functional is PBE.

energy of formation from the pure elements: 42 meV per atom
uncorrected energy: -0.96 eV/atom
SG: P2_1/m (11)

abc: 8.184 12.354 8.197
angles: 90.00 118.77 90.00
Positions (direct):
Cs: 0.058 0.250 0.441
Cs: 0.942 0.750 0.559
K: 0.273 0.577 0.228
K: 0.273 0.923 0.228
K: 0.727 0.077 0.772
K: 0.727 0.423 0.772
Rb: 0.408 0.250 0.090
Rb: 0.592 0.750 0.910



Which value of uncorrected energy does entry 1 give?
-4.53 eV/atom



Which formula does entry 6 have?
CsK2Rb